Record 1
Entry from Alexandria via LeMat-Bulk: a PBEsol-optimized structure of CdAsP (meta-GGA SCAN).

Unit cell a=5.9695 b=5.9695 c=5.9695 alpha=135.17 beta=101.86 gamma=94.90
Closest atoms and distances in Å follow each position.
Element x y z (fractional)
Cd 0.2500 0.3843 0.1343  2 P 2.59, 2 As 2.70
Cd 0.7500 0.1157 0.3657  2 P 2.59, 2 As 2.70
As 0.5536 0.2500 0.8036  2 P 2.34
As 0.9464 0.7500 0.6964  2 P 2.34
P 0.5759 0.8259 0.7500  2 As 2.34, 2 Cd 2.59
P 0.9241 0.6741 0.2500  2 As 2.34, 2 Cd 2.59

Calculated values
Mass density ... 5.2 g/cm3
E_tot ... -122.7 eV for the cell shown



Record 2
Entry from Alexandria via LeMat-Bulk: a PBEsol-optimized structure of CdAs3P (meta-GGA SCAN).

Unit cell a=4.9926 b=4.9926 c=4.9926 alpha=90.00 beta=90.00 gamma=90.00
Closest atoms and distances in Å follow each position.
Element x y z (fractional)
Cd 0.0000 0.0000 0.0000  6 As 2.50
As 0.0000 0.0000 0.5000  2 Cd 2.50
As 0.0000 0.5000 0.0000  2 Cd 2.50
As 0.5000 0.0000 0.0000  2 Cd 2.50
P 0.5000 0.5000 0.5000  12 As 3.53

Calculated values
Mass density ... 4.9 g/cm3
Energy above the most stable polymorph in this dataset ... 0.758 eV per atom



Record 3
Entry from Alexandria via LeMat-Bulk: a PBEsol-optimized structure of Cd3AsP (meta-GGA SCAN).

Unit cell a=5.0436 b=5.0436 c=5.0436 alpha=90.00 beta=90.00 gamma=90.00
Closest atoms and distances in Å follow each position.
Element x y z (fractional)
Cd 0.0000 0.0000 0.5000  2 As 2.52
Cd 0.0000 0.5000 0.0000  2 As 2.52
Cd 0.5000 0.0000 0.0000  2 As 2.52
As 0.0000 0.0000 0.0000  6 Cd 2.52
P 0.5000 0.5000 0.5000  12 Cd 3.57

Calculated values
Mass density ... 5.7 g/cm3
E_tot ... -118.8 eV for the cell shown



Record 4
Entry from Alexandria via LeMat-Bulk: a PBEsol-optimized structure of RbCd2AsP (meta-GGA SCAN).

Unit cell a=6.9753 b=6.9753 c=6.3439 alpha=90.00 beta=90.00 gamma=90.00
Closest atoms and distances in Å follow each position.
Element x y z (fractional)
Rb 0.0000 0.0000 0.0000  2 As 3.17, 4 Cd 3.49
Cd 0.0000 0.5000 0.0000  2 Rb 3.49
Cd 0.5000 0.0000 0.0000  2 Rb 3.49
As 0.0000 0.0000 0.5000  2 Rb 3.17
P 0.5000 0.5000 0.5000  8 Cd 4.71, 4 As 4.93

Calculated values
Mass density ... 2.2 g/cm3
E_tot ... -105.4 eV for the cell shown



Record 5
Entry from Alexandria via LeMat-Bulk: a PBEsol-optimized structure of CdAsPSe2 (meta-GGA SCAN).

Unit cell a=5.0227 b=5.0227 c=5.0371 alpha=90.00 beta=90.00 gamma=90.00
Closest atoms and distances in Å follow each position.
Element x y z (fractional)
Cd 0.0000 0.0000 0.0000  4 Se 2.51, 2 As 2.52
As 0.0000 0.0000 0.5000  2 Cd 2.52
P 0.5000 0.5000 0.5000  4 As 3.55, 8 Se 3.56
Se 0.0000 0.5000 0.0000  2 Cd 2.51
Se 0.5000 0.0000 0.0000  2 Cd 2.51

Calculated values
Mass density ... 4.9 g/cm3
Formation energy from raw total energies ... 1.230 eV per atom



Record 6
Entry from Alexandria via LeMat-Bulk: a PBEsol-optimized structure of CdAs2Pb (meta-GGA SCAN).

Unit cell a=5.8697 b=5.8697 c=5.8697 alpha=144.96 beta=126.67 gamma=65.42
Closest atoms and distances in Å follow each position.
Element x y z (fractional)
Cd 0.0000 0.0000 0.0000  6 As 3.01-3.24, 2 Pb 3.27
As 0.5678 0.5678 0.0000  2 As 2.54
As 0.7529 0.2529 0.5000  2 As 2.54
Pb 0.2781 0.7781 0.5000  8 As 3.18-3.36, 4 Cd 3.27-3.43, 2 Pb 3.53

Calculated values
Mass density ... 8.5 g/cm3
E_tot ... -146.0 eV for the cell shown



Record 7
Entry from Alexandria via LeMat-Bulk: a PBEsol-optimized structure of CdAs2Pb (meta-GGA SCAN).

Unit cell a=6.3655 b=6.3655 c=5.1276 alpha=111.23 beta=111.23 gamma=31.77
Closest atoms and distances in Å follow each position.
Element x y z (fractional)
Cd 0.0000 0.0000 0.0000  2 As 2.76
As 0.2413 0.2413 0.1568  2 As 2.43
As 0.7587 0.7587 0.8432  2 As 2.43
Pb 0.5000 0.5000 0.5000  2 As 2.99, 4 Cd 3.10

Calculated values
Mass density ... 7.7 g/cm3
E_tot ... -146.5 eV for the cell shown



Record 8
Entry from Alexandria via LeMat-Bulk: a PBEsol-optimized structure of CdAsPb2 (meta-GGA SCAN).

Unit cell a=5.5578 b=5.5578 c=3.3220 alpha=90.21 beta=90.21 gamma=101.73
Closest atoms and distances in Å follow each position.
Element x y z (fractional)
Cd 0.0000 0.0000 0.0000  8 Pb 3.23-3.24, 2 Cd 3.32, 2 As 3.51
As 0.5000 0.5000 0.0000  8 Pb 3.23-3.24, 2 As 3.32, 2 Cd 3.51
Pb 0.0000 0.5000 0.5000  4 As 3.23-3.24, 4 Cd 3.23-3.24, 4 Pb 3.32-3.51
Pb 0.5000 0.0000 0.5000  4 As 3.23-3.24, 4 Cd 3.23-3.24, 4 Pb 3.32-3.51

Calculated values
Mass density ... 9.9 g/cm3
E_tot ... -201.4 eV for the cell shown



Record 9
Entry from Alexandria via LeMat-Bulk: a PBEsol-optimized structure of CdAs2Pb (meta-GGA SCAN).

Unit cell a=5.5088 b=5.5111 c=3.0381 alpha=90.00 beta=90.00 gamma=90.00
Closest atoms and distances in Å follow each position.
Element x y z (fractional)
Cd 0.0000 0.0000 0.0000  4 As 2.81-2.82, 2 Cd 3.04
As 0.0000 0.5000 0.8112  2 Cd 2.81, 2 Pb 2.91, 2 As 3.04
As 0.5000 0.0000 0.1934  2 Cd 2.82, 2 Pb 2.91, 2 As 3.04
Pb 0.5000 0.5000 0.5023  4 As 2.91, 2 Pb 3.04

Calculated values
Mass density ... 8.5 g/cm3
E_tot ... -146.0 eV for the cell shown



Record 10
Entry from Alexandria via LeMat-Bulk: a PBEsol-optimized structure of Cd2AsPb (meta-GGA SCAN).

Unit cell a=6.4110 b=6.4110 c=3.2103 alpha=103.66 beta=103.66 gamma=124.78
Closest atoms and distances in Å follow each position.
Element x y z (fractional)
Cd 0.0000 0.5000 0.0000  6 Cd 2.97-3.21, 2 As 3.21, 2 Pb 3.21
Cd 0.5000 0.0000 0.0000  6 Cd 2.97-3.21, 2 As 3.21, 2 Pb 3.21
As 0.0000 0.0000 0.0000  4 Pb 2.97-3.07, 4 Cd 3.21, 2 As 3.21
Pb 0.5000 0.5000 0.0000  4 As 2.97-3.07, 4 Cd 3.21, 2 Pb 3.21

Calculated values
Mass density ... 9.0 g/cm3
Energy above the most stable polymorph in this dataset ... 0.102 eV per atom



Record 11
Entry from Alexandria via LeMat-Bulk: a PBEsol-optimized structure of Cd2AsPb (meta-GGA SCAN).

Unit cell a=6.6456 b=6.6456 c=6.6456 alpha=146.38 beta=143.32 gamma=50.61
Closest atoms and distances in Å follow each position.
Element x y z (fractional)
Cd 0.0000 0.0000 0.0000  4 As 2.84, 2 Cd 3.03
Cd 0.6822 0.1822 0.5000  2 As 2.97, 2 Cd 3.03, 4 Pb 3.15
As 0.4934 0.4934 0.0000  6 Cd 2.84-2.97, 2 Pb 3.07
Pb 0.2946 0.7946 0.5000  2 As 3.07, 6 Cd 3.15-3.23

Calculated values
Mass density ... 8.7 g/cm3
Energy above the most stable polymorph in this dataset ... 0.000 eV per atom



Record 12
Entry from Alexandria via LeMat-Bulk: a PBEsol-optimized structure of CdAsPb (meta-GGA SCAN).

Unit cell a=6.1970 b=6.1970 c=6.1970 alpha=149.23 beta=144.41 gamma=47.75
Closest atoms and distances in Å follow each position.
Element x y z (fractional)
Cd 0.0000 0.0000 0.0000  4 As 2.91
As 0.3697 0.3697 0.0000  4 Cd 2.91, 4 Pb 3.19
Pb 0.6965 0.6965 0.0000  4 As 3.19, 2 Pb 3.29, 5 Cd 3.35-3.44

Calculated values
Mass density ... 9.3 g/cm3
E_tot ... -125.8 eV for the cell shown



Record 13
Entry from Alexandria via LeMat-Bulk: a PBEsol-optimized structure of CdAs2PdSe (meta-GGA SCAN).

Unit cell a=4.7600 b=4.7600 c=5.0891 alpha=90.00 beta=90.00 gamma=90.00
Closest atoms and distances in Å follow each position.
Element x y z (fractional)
Cd 0.0000 0.0000 0.0000  4 Se 3.37, 8 As 3.48
As 0.0000 0.5000 0.5000  2 Pd 2.38
As 0.5000 0.0000 0.5000  2 Pd 2.38
Pd 0.5000 0.5000 0.5000  4 As 2.38, 2 Se 2.54
Se 0.5000 0.5000 0.0000  2 Pd 2.54

Calculated values
Mass density ... 6.4 g/cm3
Formation energy from raw total energies ... 0.426 eV per atom



Record 14
Entry from Alexandria via LeMat-Bulk: a PBEsol-optimized structure of CdAsPt (meta-GGA SCAN).

Unit cell a=4.3715 b=4.3715 c=4.3715 alpha=60.00 beta=60.00 gamma=60.00
Closest atoms and distances in Å follow each position.
Element x y z (fractional)
Cd 0.0000 0.0000 0.0000  4 Pt 2.68
As 0.5000 0.5000 0.5000  4 Pt 2.68
Pt 0.7500 0.7500 0.7500  4 Cd 2.68, 4 As 2.68

Calculated values
Mass density ... 10.7 g/cm3
Energy above the most stable polymorph in this dataset ... 0.000 eV per atom



Record 15
Entry from Alexandria via LeMat-Bulk: a PBEsol-optimized structure of CdAs2Pt (meta-GGA SCAN).

Unit cell a=5.5637 b=5.5637 c=5.3422 alpha=110.70 beta=110.70 gamma=29.72
Closest atoms and distances in Å follow each position.
Element x y z (fractional)
Cd 0.0000 0.0000 0.0000  3 Pt 2.82-2.93, 2 Cd 2.85, 1 As 2.92
As 0.6515 0.6515 0.5694  1 As 2.49, 2 Pt 2.58
As 0.8459 0.8459 0.4219  1 As 2.49, 2 Pt 2.56
Pt 0.2615 0.2615 0.9950  4 As 2.56-2.58, 1 Cd 2.82, 2 Pt 2.85

Calculated values
Mass density ... 10.0 g/cm3
E_tot ... -141.6 eV for the cell shown



Record 16
Entry from Alexandria via LeMat-Bulk: a PBEsol-optimized structure of CdAs2Pt (meta-GGA SCAN).

Unit cell a=6.7592 b=6.7592 c=6.7592 alpha=126.54 beta=126.54 gamma=79.01
Closest atoms and distances in Å follow each position.
Element x y z (fractional)
Cd 0.0000 0.0000 0.0000  4 As 2.66
Cd 0.7500 0.2500 0.5000  4 As 2.66
As 0.1637 0.6250 0.0387  2 Pt 2.38, 2 Cd 2.66
As 0.3750 0.4137 0.5387  2 Pt 2.38, 2 Cd 2.66
As 0.5863 0.1250 0.9613  2 Pt 2.38, 2 Cd 2.66
As 0.8750 0.8363 0.4613  2 Pt 2.38, 2 Cd 2.66
Pt 0.2500 0.7500 0.5000  4 As 2.38
Pt 0.5000 0.5000 0.0000  4 As 2.38

Calculated values
Mass density ... 7.9 g/cm3
E_tot ... -282.7 eV for the cell shown



Record 17
Entry from Alexandria via LeMat-Bulk: a PBEsol-optimized structure of CdAsPt2 (meta-GGA SCAN).

Unit cell a=2.9656 b=3.2253 c=6.8770 alpha=90.00 beta=90.00 gamma=90.00
Closest atoms and distances in Å follow each position.
Element x y z (fractional)
Cd 0.0000 0.0000 0.0000  8 Pt 2.89, 4 Cd 2.97-3.23
As 0.0000 0.0000 0.5000  8 Pt 2.69, 2 As 2.97
Pt 0.5000 0.5000 0.2732  4 As 2.69, 4 Cd 2.89, 2 Pt 2.97
Pt 0.5000 0.5000 0.7268  4 As 2.69, 4 Cd 2.89, 2 Pt 2.97

Calculated values
Mass density ... 14.6 g/cm3
Energy above the most stable polymorph in this dataset ... 0.000 eV per atom



Record 18
Entry from Alexandria via LeMat-Bulk: a PBEsol-optimized structure of CdAs2Pt (meta-GGA SCAN).

Unit cell a=3.0253 b=3.0253 c=7.9621 alpha=90.00 beta=90.00 gamma=90.00
Closest atoms and distances in Å follow each position.
Element x y z (fractional)
Cd 0.0000 0.0000 0.0000  4 Pt 2.92, 4 As 3.01, 4 Cd 3.03
As 0.0000 0.0000 0.4348  4 Pt 2.60
As 0.5000 0.5000 0.7348  4 Cd 3.01, 8 As 3.03-3.21
Pt 0.5000 0.5000 0.2501  4 As 2.60

Calculated values
Mass density ... 10.4 g/cm3
E_tot ... -141.0 eV for the cell shown



Record 19
Entry from Alexandria via LeMat-Bulk: a PBEsol-optimized structure of CdAsPt2 (meta-GGA SCAN).

Unit cell a=4.6754 b=2.9690 c=5.1203 alpha=90.00 beta=112.01 gamma=90.00
Closest atoms and distances in Å follow each position.
Element x y z (fractional)
Cd 0.0000 0.0000 0.0000  6 Pt 2.74-2.77, 4 As 2.96, 2 Cd 2.97
As 0.0000 0.5000 0.5000  6 Pt 2.74-2.77, 4 Cd 2.96, 2 As 2.97
Pt 0.5000 0.0000 0.5000  2 Cd 2.74, 4 As 2.77, 6 Pt 2.96-2.97
Pt 0.5000 0.5000 0.0000  2 As 2.74, 4 Cd 2.77, 6 Pt 2.96-2.97

Calculated values
Mass density ... 14.6 g/cm3
Energy above the most stable polymorph in this dataset ... 0.118 eV per atom



Record 20
Entry from Alexandria via LeMat-Bulk: a PBEsol-optimized structure of CdAs2Pt (meta-GGA SCAN).

Unit cell a=3.5995 b=3.5995 c=5.6396 alpha=90.00 beta=90.00 gamma=90.00
Closest atoms and distances in Å follow each position.
Element x y z (fractional)
Cd 0.0000 0.0000 0.0000  2 Pt 2.82, 8 As 3.01
As 0.5000 0.5000 0.2850  1 As 2.43
As 0.5000 0.5000 0.7150  1 As 2.43
Pt 0.0000 0.0000 0.5000  8 As 2.82, 2 Cd 2.82

Calculated values
Mass density ... 10.4 g/cm3
E_tot ... -140.8 eV for the cell shown